Cs2KSbF (GGA-PBE, optimized geometry); crystal system = tetragonal; total moment = 1.010 μB per formula unit; symmetry = No. 123; ΔE_f (raw) = -118 kJ/mol of atoms
1.0
5.9997 0.0000 0.0000
0.0000 5.9997 0.0000
0.0000 0.0000 5.4378
Cs K Sb F
2 1 1 1
Cartesian
0.0000 2.9998 0.0000
2.9998 0.0000 0.0000
0.0000 0.0000 2.7189
2.9998 2.9998 2.7189
0.0000 0.0000 0.0000